[1]
DFT (PBE) results for a geometry-optimized SrOsW2 structure.

energy above the most stable polymorph in this dataset = 0.000 eV/atom
DFT formation energy = 0.68 eV/atom

Cell lengths 3.177, 3.177, 7.990 Å; angles 90.00, 90.00, 90.00 degrees
Space group P4mm (No. 99)
Symmetry-distinct sites (fractional):
Sr (0.000, 0.000, 0.000)
Os (0.500, 0.500, 0.695)
W (0.000, 0.000, 0.520)
W (0.500, 0.500, 0.329)



[2]
DFT (PBE) results for a geometry-optimized Ba2ZnPdN structure.

energy above the most stable polymorph in this dataset = 0.000 eV/atom
formation energy (no corrections) = -309 meV per atom

Cell lengths 5.747, 5.747, 3.879 Å; angles 90.00, 90.00, 90.00 degrees
Space group P4/mmm (No. 123)
Symmetry-distinct sites (fractional):
Ba (0.000, 0.500, 0.000)
Zn (0.000, 0.000, 0.500)
Pd (0.500, 0.500, 0.500)
N (0.000, 0.000, 0.000)



[3]
DFT (PBE) results for a geometry-optimized TlIn2Hg structure.

DFT formation energy = 0.01 eV/atom

Cell lengths 11.369, 3.809, 5.445 Å; angles 90.00, 109.28, 90.00 degrees
Space group C2/m (No. 12)
Symmetry-distinct sites (fractional):
Tl (0.000, 0.000, 0.000)
In (0.239, 0.000, 0.738)
Hg (0.000, 0.500, 0.500)



[4]
DFT (PBE) results for a geometry-optimized KHoPd4 structure.

DFT formation energy = -0.40 eV/atom

Cell lengths 7.760, 7.760, 7.760 Å; angles 90.00, 90.00, 90.00 degrees
Space group F-43m (No. 216)
Symmetry-distinct sites (fractional):
K (0.000, 0.000, 0.000)
Ho (0.250, 0.250, 0.750)
Pd (0.125, 0.125, 0.375)



[5]
DFT (PBE) results for a geometry-optimized CdGa2S structure.

energy above the most stable polymorph in this dataset = 0.009 eV/atom
formation energy (no corrections) = -62 meV per atom

Cell lengths 6.314, 6.314, 10.515 Å; angles 90.00, 90.00, 90.00 degrees
Space group I-42d (No. 122)
Symmetry-distinct sites (fractional):
Cd (0.000, 0.000, 0.000)
Ga (0.223, 0.250, 0.625)
S (0.000, 0.000, 0.500)



[6]
DFT (PBE) results for a geometry-optimized Nd8Ga2Ag3 structure.

DFT formation energy = -0.16 eV/atom

Cell lengths 10.173, 15.158, 5.082 Å; angles 90.00, 90.00, 90.00 degrees
Space group Cmmm (No. 65)
Symmetry-distinct sites (fractional):
Nd (0.000, 0.123, 0.000)
Nd (0.000, 0.365, 0.000)
Nd (0.245, 0.129, 0.500)
Ga (0.000, 0.247, 0.500)
Ag (0.000, 0.500, 0.500)
Ag (0.243, 0.500, 0.000)



Which formula does entry 3 have?
TlIn2Hg